DFT (PBE) results for a relaxed structure of HoTm4Ni4.

Calculated values
Its total moment is 0.000 μB per atom. The space-group type is No. 86. Its formation energy is -0.30 eV per atom. The value obtained for the calculated density is 9057 kg/m³.

abc: 5.4918 8.4738 8.4738
angles: 90.00 90.00 90.00
Fractional positions:
Ho 0.0000 0.0000 0.0000
Ho 0.5000 0.5000 0.5000
Tm 0.3988 0.3190 0.9134
Tm 0.8988 0.5866 0.8190
Tm 0.3988 0.6810 0.0866
Tm 0.1012 0.1810 0.5866
Tm 0.6012 0.9134 0.6810
Tm 0.1012 0.8190 0.4134
Tm 0.8988 0.4134 0.1810
Tm 0.6012 0.0866 0.3190
Ni 0.6121 0.7754 0.3665
Ni 0.6121 0.2246 0.6335
Ni 0.1121 0.8665 0.7246
Ni 0.8879 0.2754 0.8665
Ni 0.8879 0.7246 0.1335
Ni 0.3879 0.3665 0.2246
Ni 0.3879 0.6335 0.7754
Ni 0.1121 0.1335 0.2754


DFT (PBE) results for a relaxed structure of Rb3Tm3GeO8.

Calculated values
Its total moment is 0.000 μB per atom. The space-group type is No. 166. The formation energy (no corrections) is -57.91 kcal/mol of atoms. The value obtained for the calculated density is 6310 kg/m³.

abc: 6.6581 6.6588 7.6442
angles: 115.84 90.00 120.00
Fractional positions:
Rb 0.0000 0.0000 0.0000
Rb 0.0000 0.5000 0.0000
Rb 0.5000 0.5000 0.0000
Tm 0.5000 0.0000 0.5000
Tm 0.5000 0.5000 0.5000
Tm 0.0000 0.5000 0.5000
Ge 0.0000 0.0000 0.5000
O 0.2774 0.5549 0.3324
O 0.7226 0.4451 0.6676
O 0.7974 0.5947 0.3398
O 0.2026 0.4053 0.6602
O 0.7974 0.0423 0.3398
O 0.2026 0.9577 0.6602
O 0.2449 0.0423 0.3398
O 0.7551 0.9577 0.6602


DFT (PBE) results for a relaxed structure of SmTl2Sn.

Calculated values
Its total moment is 0.000 μB per atom. The space-group type is No. 123. Its formation energy is -0.36 eV per atom. The value obtained for the calculated density is 10227 kg/m³.

abc: 5.0371 4.6743 4.6743
angles: 90.00 90.00 90.00
Fractional positions:
Tl 0.0000 0.0000 0.5000
Tl 0.0000 0.5000 0.0000
Sn 0.5000 0.0000 0.0000
Sm 0.5000 0.5000 0.5000


DFT (PBE) results for a relaxed structure of Ca2Co2N.

Calculated values
Its total moment is 0.656 μB per atom. The space-group type is No. 127. The formation energy (no corrections) is 15.67 kcal/mol of atoms. The value obtained for the calculated density is 3507 kg/m³.

abc: 6.4318 6.4318 4.8543
angles: 90.00 90.00 90.00
Each line ends with the local moment (μB).
Fractional positions:
Ca 0.3163 0.8163 0.0000  -0.05
Ca 0.8163 0.6837 0.0000  -0.05
Ca 0.6837 0.1837 0.0000  -0.05
Ca 0.1837 0.3163 0.0000  -0.05
Co 0.1173 0.6173 0.5000  1.71
Co 0.6173 0.8827 0.5000  1.71
Co 0.8827 0.3827 0.5000  1.71
Co 0.3827 0.1173 0.5000  1.71
N 0.0000 0.0000 0.0000  0.14
N 0.5000 0.5000 0.0000  0.14


DFT (PBE) results for a relaxed structure of AcLa3Ge4.

Calculated values
Its total moment is 0.000 μB per atom. The space-group type is No. 71. Its formation energy is -0.64 eV per atom. The value obtained for the calculated density is 6400 kg/m³.

abc: 4.1920 6.8167 9.3794
angles: 111.31 102.91 90.00
Fractional positions:
Ac 0.5000 0.0000 0.0000
La 0.0000 0.5000 0.0000
La 0.1971 0.1969 0.3942
La 0.8029 0.8031 0.6058
Ge 0.3671 0.5500 0.7343
Ge 0.6329 0.4500 0.2657
Ge 0.6328 0.8153 0.2655
Ge 0.3672 0.1847 0.7345


DFT (PBE) results for a relaxed structure of Pm12Nd5Dy2.

Calculated values
Its total moment is 0.000 μB per atom. The space-group type is No. 12. Its formation energy is 0.17 eV per atom. The value obtained for the calculated density is 6989 kg/m³.

abc: 7.2060 10.0472 10.5290
angles: 69.97 90.00 111.01
Fractional positions:
Pm 0.9757 0.9513 0.2427
Pm 0.0885 0.6813 0.8669
Pm 0.5928 0.6813 0.8669
Pm 0.0852 0.6676 0.5212
Pm 0.5824 0.6676 0.5212
Pm 0.5017 0.0035 0.6784
Pm 0.4983 0.9965 0.3216
Pm 0.9148 0.3324 0.4788
Pm 0.4176 0.3324 0.4788
Pm 0.9115 0.3187 0.1331
Pm 0.4072 0.3187 0.1331
Pm 0.0243 0.0487 0.7573
Nd 0.1853 0.3706 0.8162
Nd 0.3252 0.6503 0.2084
Nd 0.0000 0.0000 0.5000
Nd 0.6748 0.3497 0.7916
Nd 0.8147 0.6294 0.1838
Dy 0.7216 0.0000 0.0000
Dy 0.2784 0.0000 0.0000


DFT (PBE) results for a relaxed structure of Np2Tl3CuS6.

Calculated values
Its total moment is 0.500 μB per atom. The space-group type is No. 12. The formation energy (no corrections) is -18.07 kcal/mol of atoms. The value obtained for the calculated density is 7293 kg/m³.

abc: 7.0100 7.0100 7.7619
angles: 97.37 97.37 123.59
Each line ends with the local moment (μB).
Fractional positions:
Np 0.3352 0.6648 0.0000  3.30
Np 0.6648 0.3352 0.0000  3.30
Tl 0.1548 0.8452 0.5000  -0.01
Tl 0.8452 0.1548 0.5000  -0.01
Tl 0.5000 0.5000 0.5000  0.00
Cu 0.0000 0.0000 0.0000  -0.08
S 0.9370 0.5649 0.7891  -0.11
S 0.7530 0.7530 0.1608  -0.09
S 0.0630 0.4351 0.2109  -0.11
S 0.5649 0.9370 0.7891  -0.11
S 0.2470 0.2470 0.8392  -0.09
S 0.4351 0.0630 0.2109  -0.11


DFT (PBE) results for a relaxed structure of HgOsRh.

Calculated values
Its total moment is 0.000 μB per atom. The space-group type is No. 156. Its formation energy is 0.42 eV per atom. The value obtained for the calculated density is 16771 kg/m³.

abc: 2.8431 2.8431 6.9831
angles: 90.00 90.00 120.00
Fractional positions:
Hg 0.0000 0.0000 0.9966
Os 0.6667 0.3333 0.3564
Rh 0.3333 0.6667 0.6471


Q: What is the total moment in the second record?
A: 0.000 μB per atom


Q: Which formula does entry 6 have?
A: Pm12Nd5Dy2


Q: What is the calculated density in the fifth record?
A: 6400 kg/m³